First-principles (GGA-PBE) data for YMgHg2Pd after structural relaxation, as listed in Alexandria via LeMat-Bulk.

The structure in extended XYZ format:
```
5
Lattice="4.9782 0.0000 0.0000 0.0000 5.7219 0.0000 0.0000 0.0000 4.9782" Properties=species:S:1:pos:R:3 pbc="T T T"
Y 0.0000 2.8610 0.0000
Mg 0.0000 0.0000 0.0000
Hg 0.0000 0.0000 2.4891
Hg 2.4891 0.0000 0.0000
Pd 2.4891 2.8610 2.4891
```

Calculated values
Raw total energy in eV/cell: -11.30
Space group: P4/mmm, No. 123
Formation enthalpy at 0 K in meV per atom: 512
Spin magnetization in Bohr magnetons per cell: 0.0